Material: HfFeReSi
Method: DFT, GGA-PBE
State: optimized geometry

Unit cell a=4.416 b=4.416 c=4.416 alpha=60.00 beta=60.00 gamma=60.00
Positions (direct):
1 Hf 0.000 0.000 0.000
2 Fe 0.500 0.500 0.500
3 Re 0.750 0.750 0.750
4 Si 0.250 0.250 0.250

Results
E above lowest polymorph: 365.5 meV/atom
Space-group type: No. 216
VASP energy: -8.8960 eV/atom


Material: NaNdGd
Method: DFT, GGA-PBE
State: optimized geometry

Unit cell a=5.384 b=5.384 c=5.384 alpha=60.00 beta=60.00 gamma=60.00
Positions (direct):
1 Na 0.000 0.000 0.000
2 Nd 0.250 0.250 0.250
3 Gd 0.750 0.750 0.750

Results
Space-group type: No. 216
VASP energy: -2.8121 eV/atom


Question: Which of these has the lowest VASP energy?
Answer: HfFeReSi


Question: Which of these has the lowest VASP energy?
Answer: HfFeReSi


Question: Look up the VASP energy of the first one.
Answer: -8.8960 eV/atom